Record 1
Computed, not measured: a geometry-optimized YTlGeS2 structure at the PBE level of DFT.

Results
total magnetization	0.00	μB/f.u.
volume	30.010	Å³/atom
N(E_F)	3.67	states/eV per cell
electronic total energy	-3.7028	eV per atom
energy relative to the elements, uncorrected	0.638	eV per atom

extended XYZ file:
```
5
Lattice="5.0224 0.0000 0.0000 0.0000 5.0224 0.0000 0.0000 0.0000 5.9485" Properties=species:S:1:pos:R:3 pbc="T T T"
Y 0.0000 0.0000 0.0000
Tl 0.0000 0.0000 2.9743
Ge 2.5112 2.5112 0.0000
S 0.0000 2.5112 2.9743
S 2.5112 0.0000 2.9743
```

Record 2
Computed, not measured: a geometry-optimized PrNd2DyEr5 structure at the PBE level of DFT.

Results
total magnetization	0.00	μB/f.u.
volume	32.602	Å³/atom
N(E_F)	19.74	states/eV per cell
electronic total energy	-4.3757	eV per atom

extended XYZ file:
```
18
Lattice="-4.3625 4.3625 7.7087 4.3625 -4.3625 7.7087 4.3625 4.3625 -7.7087" Properties=species:S:1:pos:R:3 pbc="T T T"
Pr 0.0000 0.0000 3.8544
Pr 0.0000 0.0000 11.5631
Nd 5.3803 1.0178 0.0000
Nd 1.0178 3.3448 0.0000
Nd 3.3448 1.0178 7.7087
Nd -1.0178 3.3448 7.7087
Dy 4.3625 0.0000 3.8544
Dy 0.0000 4.3625 3.8544
Er 0.0000 0.0000 0.0000
Er 2.5281 1.8344 -2.1209
Er 2.5281 -1.8344 5.5878
Er 2.5281 1.8344 2.1209
Er 2.5281 -1.8344 9.8296
Er 0.0000 0.0000 7.7087
Er 1.8344 6.1970 -2.1209
Er 1.8344 2.5281 5.5878
Er 1.8344 6.1970 2.1209
Er 1.8344 2.5281 9.8296
```

Record 3
Computed, not measured: a geometry-optimized Na2LiPtC structure at the PBE level of DFT.

Results
total magnetization	3.00	μB/f.u.
volume	28.494	Å³/atom
N(E_F)	0.00	states/eV per cell
electronic total energy	-2.7790	eV per atom

extended XYZ file:
```
5
Lattice="5.4913 0.0000 0.0000 0.0000 5.4913 0.0000 0.0000 0.0000 4.7247" Properties=species:S:1:pos:R:3 pbc="T T T"
Na 0.0000 2.7456 0.0000
Na 2.7456 0.0000 0.0000
Li 0.0000 0.0000 2.3624
Pt 0.0000 0.0000 0.0000
C 2.7456 2.7456 2.3624
```

Record 4
Computed, not measured: a geometry-optimized TiInTe2 structure at the PBE level of DFT.

Results
total magnetization	1.00	μB/f.u.
volume	39.242	Å³/atom
N(E_F)	8.64	states/eV per cell
electronic total energy	-4.4766	eV per atom
energy relative to the elements, uncorrected	-0.247	eV per atom

extended XYZ file:
```
8
Lattice="-3.6182 3.6182 5.9949 3.6182 -3.6182 5.9949 3.6182 3.6182 -5.9949" Properties=species:S:1:pos:R:3 pbc="T T T"
Ti 0.0000 0.0000 0.0000
Ti 0.0000 3.6182 2.9975
In 3.6182 0.0000 2.9975
In 0.0000 0.0000 5.9949
Te 5.4274 1.2985 -1.4987
Te 1.2985 1.8091 1.4987
Te -1.8091 2.3197 4.4962
Te 2.3197 1.8091 7.4937
```

Record 5
Computed, not measured: a geometry-optimized CsZnGePSe structure at the PBE level of DFT.

Results
total magnetization	0.00	μB/f.u.
volume	33.781	Å³/atom
electronic total energy	-3.5205	eV per atom
energy relative to the elements, uncorrected	-0.393	eV per atom

extended XYZ file:
```
5
Lattice="7.1569 -2.0409 0.0000 7.1569 2.0409 0.0000 -2.8071 0.0000 5.7818" Properties=species:S:1:pos:R:3 pbc="T T T"
Cs 0.0000 0.0000 0.0000
Zn 3.4709 0.0000 0.8063
Ge 8.2281 0.0000 3.2559
P 7.7876 0.0000 5.5698
Se 2.7728 0.0000 3.1739
```

Record 6
Computed, not measured: a geometry-optimized AgOs2Pt structure at the PBE level of DFT.

Results
total magnetization	0.77	μB/f.u.
volume	15.779	Å³/atom
N(E_F)	4.34	states/eV per cell
electronic total energy	-7.3773	eV per atom

extended XYZ file:
```
4
Lattice="1.3831 -2.3610 0.0000 1.3831 2.3610 0.0000 0.0000 0.0000 9.6646" Properties=species:S:1:pos:R:3 pbc="T T T"
Ag 0.0000 0.0000 0.0000
Os 0.0000 0.0000 4.7398
Os 1.3831 0.0000 2.5440
Pt 1.3831 0.0000 7.1663
```

Record 7
Computed, not measured: a geometry-optimized Sr2Ga3BiPt4 structure at the PBE level of DFT.

Results
total magnetization	0.00	μB/f.u.
volume	21.751	Å³/atom
N(E_F)	4.57	states/eV per cell
electronic total energy	-4.8188	eV per atom

extended XYZ file:
```
10
Lattice="4.5632 0.0000 0.0000 0.0000 4.5632 0.0000 0.0000 0.0000 10.4458" Properties=species:S:1:pos:R:3 pbc="T T T"
Sr 0.0000 2.2816 2.4626
Sr 2.2816 0.0000 7.9833
Ga 0.0000 2.2816 9.2573
Ga 2.2816 0.0000 1.1885
Ga 2.2816 2.2816 5.2229
Bi 0.0000 0.0000 5.2229
Pt 0.0000 0.0000 0.0000
Pt 0.0000 2.2816 6.7550
Pt 2.2816 0.0000 3.6908
Pt 2.2816 2.2816 0.0000
```

Record 8
Computed, not measured: a geometry-optimized Na2Zr2AgS6 structure at the PBE level of DFT.

Results
total magnetization	0.00	μB/f.u.
volume	22.875	Å³/atom
N(E_F)	6.98	states/eV per cell
electronic total energy	-5.4489	eV per atom
energy relative to the elements, uncorrected	-1.144	eV per atom

extended XYZ file:
```
11
Lattice="3.2085 -5.7475 0.0000 3.2085 5.7475 0.0000 -1.9589 0.0000 6.8225" Properties=species:S:1:pos:R:3 pbc="T T T"
Na 3.2085 3.9284 0.0000
Na 3.2085 -3.9284 0.0000
Zr 2.2290 1.9373 3.4113
Zr 2.2290 -1.9373 3.4113
Ag -0.9794 0.0000 3.4113
S 0.1803 2.0687 4.9251
S 1.1482 0.0000 1.9971
S 0.1803 -2.0687 4.9251
S 4.2778 2.0687 1.8975
S 3.3099 0.0000 4.8254
S 4.2778 -2.0687 1.8975
```

Record 9
Computed, not measured: a geometry-optimized CaPdO structure at the PBE level of DFT.

Results
total magnetization	0.00	μB/f.u.
volume	16.133	Å³/atom
N(E_F)	2.63	states/eV per cell
electronic total energy	-5.4908	eV per atom
energy relative to the elements, uncorrected	-1.440	eV per atom

extended XYZ file:
```
6
Lattice="5.4445 0.0000 0.0000 0.0000 3.2032 0.0000 -0.8560 0.0000 5.5504" Properties=species:S:1:pos:R:3 pbc="T T T"
Ca 0.7258 0.0000 1.5280
Ca 3.8627 0.0000 4.0224
Pd 1.1191 1.6016 4.4344
Pd 3.4694 1.6016 1.1160
O 0.0000 1.6016 0.0000
O -0.4280 1.6016 2.7752
```

Record 10
Computed, not measured: a geometry-optimized Tb3Y4Zr structure at the PBE level of DFT.

Results
total magnetization	0.00	μB/f.u.
volume	31.614	Å³/atom
N(E_F)	12.39	states/eV per cell
electronic total energy	-5.8408	eV per atom

extended XYZ file:
```
8
Lattice="2.7906 -13.0805 0.0000 2.7906 13.0805 0.0000 0.0000 0.0000 3.4644" Properties=species:S:1:pos:R:3 pbc="T T T"
Tb 0.0000 0.0000 0.0000
Tb 2.7906 9.0540 1.7322
Tb 2.7906 -9.0540 1.7322
Y 2.7906 5.7982 0.0000
Y 2.7906 2.6117 0.0000
Y 2.7906 -2.6117 0.0000
Y 2.7906 -5.7982 0.0000
Zr 2.7906 0.0000 1.7322
```

Record 11
Computed, not measured: a geometry-optimized TcSe2Cl6 structure at the PBE level of DFT.

Results
total magnetization	2.44	μB/f.u.
volume	32.291	Å³/atom
N(E_F)	1.96	states/eV per cell
electronic total energy	-3.5475	eV per atom
energy relative to the elements, uncorrected	-0.390	eV per atom

extended XYZ file:
```
9
Lattice="3.5547 0.0000 0.0000 -1.6344 8.3856 0.0000 -0.7611 -3.3512 9.7498" Properties=species:S:1:pos:R:3 pbc="T T T"
Tc 0.0000 0.0000 0.0000
Se 0.4951 1.5880 4.1215
Se 0.6641 3.4463 5.6282
Cl -1.6226 7.5941 2.1966
Cl 0.2343 0.1715 5.7344
Cl -0.6149 3.4533 9.1939
Cl 1.7741 1.5810 0.5559
Cl 0.9248 4.8629 4.0154
Cl 2.7818 -2.5597 7.5531
```

Record 12
Computed, not measured: a geometry-optimized Hf2GaSb structure at the PBE level of DFT.

Results
total magnetization	0.00	μB/f.u.
volume	30.818	Å³/atom
N(E_F)	0.33	states/eV per cell
electronic total energy	-6.2188	eV per atom
energy relative to the elements, uncorrected	0.545	eV per atom

extended XYZ file:
```
8
Lattice="-3.0056 3.0056 6.8231 3.0056 -3.0056 6.8231 3.0056 3.0056 -6.8231" Properties=species:S:1:pos:R:3 pbc="T T T"
Hf 4.5083 1.2734 -1.7058
Hf 1.2734 1.5028 1.7058
Hf -1.5028 1.7321 5.1173
Hf 1.7321 1.5028 8.5289
Ga 0.0000 0.0000 0.0000
Ga 0.0000 3.0056 3.4116
Sb 3.0056 0.0000 3.4116
Sb 0.0000 0.0000 6.8231
```